# Sm9HoSc2

An optimized crystal structure of Sm9HoSc2 (GGA-PBE, Alexandria via LeMat-Bulk).

Lattice parameters (Å, degrees): 5.0308 5.0308 15.0901 90.00 90.00 90.00
Fractional coordinates of all 12 atoms:
Sm 0.5000 0.5000 0.3355
Sm 0.0000 0.5000 0.8293
Sm 0.0000 0.5000 0.1707
Sm 0.5000 0.5000 0.6645
Sm 0.0000 0.5000 0.5000
Sm 0.5000 0.5000 0.0000
Sm 0.5000 0.0000 0.8293
Sm 0.5000 0.0000 0.5000
Sm 0.5000 0.0000 0.1707
Sc 0.0000 0.0000 0.6648
Sc 0.0000 0.0000 0.3352
Ho 0.0000 0.0000 0.0000

Properties
Space-group type: P4/mmm (123)
Crystal system: tetragonal
Calculated total energy: -4.94 eV per atom



# Sm8Ho5Sc

An optimized crystal structure of Sm8Ho5Sc (GGA-PBE, Alexandria via LeMat-Bulk).

Lattice parameters (Å, degrees): 8.9899 8.7381 8.9900 84.09 125.06 122.74
Fractional coordinates of all 14 atoms:
Ho 0.9707 0.2425 0.9382
Ho 0.3729 0.1724 0.1014
Ho 0.9290 0.8276 0.2005
Ho 0.5030 0.0000 0.5030
Ho 0.6957 0.7575 0.7282
Sm 0.5077 0.9468 0.9315
Sm 0.5130 0.6267 0.2254
Sm 0.1190 0.6958 0.0502
Sm 0.9846 0.0532 0.5608
Sm 0.5987 0.3733 0.8864
Sm 0.0101 0.4305 0.3291
Sm 0.3544 0.3042 0.4232
Sm 0.8986 0.5695 0.5796
Sc 0.2925 0.5000 0.7925

Properties
Space-group type: C2 (5)
Crystal system: monoclinic
Calculated total energy: -4.60 eV per atom



# SmHo4Sc5

An optimized crystal structure of SmHo4Sc5 (GGA-PBE, Alexandria via LeMat-Bulk).

Lattice parameters (Å, degrees): 6.0285 7.5222 7.5222 80.76 66.38 66.38
Fractional coordinates of all 10 atoms:
Sm 0.2299 0.0000 0.0000
Sc 0.1736 0.9142 0.6278
Sc 0.6899 0.0000 0.0000
Sc 0.8014 0.3722 0.9142
Sc 0.0879 0.6278 0.0858
Sc 0.7157 0.0858 0.3722
Ho 0.1079 0.2948 0.3953
Ho 0.5032 0.6047 0.2948
Ho 0.7980 0.7052 0.6047
Ho 0.4027 0.3953 0.7052

Properties
Space-group type: I4 (79)
Crystal system: tetragonal
Calculated total energy: -5.17 eV per atom



# Sm4HoSc5

An optimized crystal structure of Sm4HoSc5 (GGA-PBE, Alexandria via LeMat-Bulk).

Lattice parameters (Å, degrees): 5.6558 7.7837 7.7837 82.42 68.70 68.70
Fractional coordinates of all 10 atoms:
Sc 0.1259 0.6211 0.0000
Sc 0.1259 0.0000 0.6211
Sc 0.7470 0.0000 0.3789
Sc 0.6918 0.0000 0.0000
Sc 0.7470 0.3789 0.0000
Sm 0.4662 0.6793 0.3207
Sm 0.7869 0.6793 0.6793
Sm 0.1455 0.3207 0.3207
Sm 0.4662 0.3207 0.6793
Ho 0.2078 0.0000 0.0000

Properties
Space-group type: I4mm (107)
Crystal system: tetragonal
Calculated total energy: -5.28 eV per atom



# SmHoScSn

An optimized crystal structure of SmHoScSn (GGA-PBE, Alexandria via LeMat-Bulk).

Lattice parameters (Å, degrees): 5.3071 5.3071 5.3071 60.00 60.00 60.00
Fractional coordinates of all 4 atoms:
Sm 0.0000 0.0000 0.0000
Ho 0.7500 0.7500 0.7500
Sc 0.5000 0.5000 0.5000
Sn 0.2500 0.2500 0.2500

Properties
Space-group type: F-43m (216)
Crystal system: cubic
Calculated total energy: -5.14 eV per atom



# TbSm3HoSc

An optimized crystal structure of TbSm3HoSc (GGA-PBE, Alexandria via LeMat-Bulk).

Lattice parameters (Å, degrees): 5.5484 11.1848 6.5570 97.91 90.00 104.36
Fractional coordinates of all 12 atoms:
Sc 0.3681 0.7362 0.5267
Sc 0.6319 0.2638 0.4733
Sm 0.4776 0.9552 0.2416
Sm 0.7737 0.5474 0.6915
Sm 0.8398 0.6797 0.2385
Sm 0.5224 0.0448 0.7584
Sm 0.2263 0.4526 0.3085
Sm 0.1602 0.3203 0.7615
Ho 0.0715 0.1430 0.1980
Ho 0.9285 0.8570 0.8020
Tb 0.3371 0.6741 0.9666
Tb 0.6629 0.3259 0.0334

Properties
Space-group type: C2/m (12)
Crystal system: monoclinic
Calculated total energy: -4.77 eV per atom



# TbSmHo2Sc4

An optimized crystal structure of TbSmHo2Sc4 (GGA-PBE, Alexandria via LeMat-Bulk).

Lattice parameters (Å, degrees): 4.9139 4.9092 10.4922 62.11 90.00 90.00
Fractional coordinates of all 8 atoms:
Ho 0.0000 0.0000 0.0000
Ho 0.5000 0.0000 0.5000
Sc 0.0000 0.2511 0.2489
Sc 0.5000 0.2489 0.7511
Sc 0.5000 0.7511 0.2489
Sc 0.0000 0.7489 0.7511
Tb 0.5000 0.5000 0.0000
Sm 0.0000 0.5000 0.5000

Properties
Space-group type: P4/mmm (123)
Crystal system: tetragonal
Calculated total energy: -5.43 eV per atom



# Tb2SmHoSc2

An optimized crystal structure of Tb2SmHoSc2 (GGA-PBE, Alexandria via LeMat-Bulk).

Lattice parameters (Å, degrees): 3.3374 6.2992 17.4111 90.00 90.00 90.00
Fractional coordinates of all 12 atoms:
Ho 0.0000 0.0000 0.0000
Ho 0.5000 0.5000 0.5000
Sm 0.5000 0.5000 0.0000
Sm 0.0000 0.0000 0.5000
Sc 0.5000 0.7766 0.3541
Sc 0.5000 0.2234 0.6459
Sc 0.0000 0.2766 0.1459
Sc 0.0000 0.7234 0.8541
Tb 0.0000 0.7758 0.1907
Tb 0.0000 0.2242 0.8093
Tb 0.5000 0.2758 0.3093
Tb 0.5000 0.7242 0.6907

Properties
Space-group type: Pnnm (58)
Crystal system: orthorhombic
Calculated total energy: -4.92 eV per atom



# Tb3Sm6Ho2Sc

An optimized crystal structure of Tb3Sm6Ho2Sc (GGA-PBE, Alexandria via LeMat-Bulk).

Lattice parameters (Å, degrees): 6.1841 6.1841 11.7438 95.02 95.02 119.97
Fractional coordinates of all 12 atoms:
Sc 0.0000 0.0000 0.0000
Sm 0.9180 0.5874 0.7535
Sm 0.4126 0.0820 0.2465
Sm 0.5874 0.9180 0.7535
Sm 0.0820 0.4126 0.2465
Sm 0.7513 0.7513 0.2466
Sm 0.2487 0.2487 0.7534
Ho 0.3333 0.6667 0.0000
Ho 0.6667 0.3333 0.0000
Tb 0.5000 0.5000 0.5000
Tb 0.8335 0.1665 0.5000
Tb 0.1665 0.8335 0.5000

Properties
Space-group type: C2/m (12)
Crystal system: monoclinic
Calculated total energy: -4.78 eV per atom



# Tb6Sm3Ho2Sc

An optimized crystal structure of Tb6Sm3Ho2Sc (GGA-PBE, Alexandria via LeMat-Bulk).

Lattice parameters (Å, degrees): 6.1471 6.1471 11.7491 94.99 94.99 119.98
Fractional coordinates of all 12 atoms:
Sm 0.8334 0.1666 0.5000
Sm 0.1666 0.8334 0.5000
Sm 0.5000 0.5000 0.5000
Tb 0.9186 0.5878 0.7554
Tb 0.4122 0.0814 0.2446
Tb 0.7507 0.7507 0.2450
Tb 0.0814 0.4122 0.2446
Tb 0.5878 0.9186 0.7554
Tb 0.2493 0.2493 0.7550
Ho 0.6665 0.3335 0.0000
Ho 0.3335 0.6665 0.0000
Sc 0.0000 0.0000 0.0000

Properties
Space-group type: C2/m (12)
Crystal system: monoclinic
Calculated total energy: -4.76 eV per atom



# Tb2Sm2HoSc2

An optimized crystal structure of Tb2Sm2HoSc2 (GGA-PBE, Alexandria via LeMat-Bulk).

Lattice parameters (Å, degrees): 3.4006 11.8116 11.6319 150.90 90.00 98.28
Fractional coordinates of all 7 atoms:
Ho 0.0000 0.0000 0.5000
Sc 0.6440 0.2879 0.2282
Sc 0.3560 0.7121 0.7718
Tb 0.0544 0.1089 0.3014
Tb 0.9456 0.8911 0.6986
Sm 0.2984 0.5968 0.9555
Sm 0.7016 0.4032 0.0445

Properties
Space-group type: C2/m (12)
Crystal system: monoclinic
Calculated total energy: -4.96 eV per atom



# TbSm2Ho2Sc2

An optimized crystal structure of TbSm2Ho2Sc2 (GGA-PBE, Alexandria via LeMat-Bulk).

Lattice parameters (Å, degrees): 3.4295 5.9229 11.5658 72.01 90.00 106.83
Fractional coordinates of all 7 atoms:
Ho 0.4538 0.9075 0.7677
Ho 0.5462 0.0925 0.2323
Tb 0.0000 0.0000 0.5000
Sm 0.6717 0.3434 0.9112
Sm 0.3283 0.6566 0.0888
Sc 0.2281 0.4562 0.6315
Sc 0.7719 0.5438 0.3685

Properties
Space-group type: C2/m (12)
Crystal system: monoclinic
Calculated total energy: -5.02 eV per atom



# Tb2Sm5HoSc

An optimized crystal structure of Tb2Sm5HoSc (GGA-PBE, Alexandria via LeMat-Bulk).

Lattice parameters (Å, degrees): 5.3370 11.2365 10.1367 90.00 90.00 103.74
Fractional coordinates of all 18 atoms:
Ho 0.3987 0.7974 0.5081
Ho 0.6013 0.2026 0.0081
Tb 0.1159 0.2318 0.2580
Tb 0.8838 0.7676 0.2581
Tb 0.8841 0.7682 0.7580
Tb 0.1162 0.2324 0.7581
Sm 0.2787 0.5574 0.3206
Sm 0.5001 0.0002 0.7580
Sm 0.7213 0.4426 0.8206
Sm 0.0010 0.0020 0.5081
Sm 0.7210 0.4420 0.1964
Sm 0.4999 0.9998 0.2580
Sm 0.2790 0.5580 0.6964
Sm 0.3735 0.7470 0.0081
Sm 0.9990 0.9980 0.0081
Sm 0.6265 0.2530 0.5081
Sc 0.7856 0.5713 0.5085
Sc 0.2144 0.4287 0.0085

Properties
Space-group type: Cmc2_1 (36)
Crystal system: orthorhombic
Calculated total energy: -4.73 eV per atom



# Tb2Sm3Ho6Sc

An optimized crystal structure of Tb2Sm3Ho6Sc (GGA-PBE, Alexandria via LeMat-Bulk).

Lattice parameters (Å, degrees): 6.1236 6.1236 11.7067 94.99 94.99 119.97
Fractional coordinates of all 12 atoms:
Tb 0.3336 0.6664 0.0000
Tb 0.6664 0.3336 0.0000
Ho 0.9186 0.5878 0.7544
Ho 0.2493 0.2493 0.7541
Ho 0.7507 0.7507 0.2459
Ho 0.0814 0.4122 0.2456
Ho 0.4122 0.0814 0.2456
Ho 0.5878 0.9186 0.7544
Sm 0.5000 0.5000 0.5000
Sm 0.1665 0.8335 0.5000
Sm 0.8335 0.1665 0.5000
Sc 0.0000 0.0000 0.0000

Properties
Space-group type: C2/m (12)
Crystal system: monoclinic
Calculated total energy: -4.74 eV per atom



# Tb3SmHo6Sc2

An optimized crystal structure of Tb3SmHo6Sc2 (GGA-PBE, Alexandria via LeMat-Bulk).

Lattice parameters (Å, degrees): 6.0591 6.0591 11.5966 94.98 94.98 119.96
Fractional coordinates of all 12 atoms:
Ho 0.7461 0.7461 0.2454
Ho 0.9177 0.5819 0.7545
Ho 0.4181 0.0823 0.2455
Ho 0.5819 0.9177 0.7545
Ho 0.0823 0.4181 0.2455
Ho 0.2539 0.2539 0.7546
Tb 0.1671 0.8329 0.5000
Tb 0.8329 0.1671 0.5000
Tb 0.5000 0.5000 0.5000
Sc 0.3332 0.6668 0.0000
Sc 0.6668 0.3332 0.0000
Sm 0.0000 0.0000 0.0000

Properties
Space-group type: C2/m (12)
Crystal system: monoclinic
Calculated total energy: -4.86 eV per atom



# TbSm6Ho3Sc2

An optimized crystal structure of TbSm6Ho3Sc2 (GGA-PBE, Alexandria via LeMat-Bulk).

Lattice parameters (Å, degrees): 6.1434 6.1434 11.6076 95.04 95.04 119.97
Fractional coordinates of all 12 atoms:
Sc 0.6665 0.3335 0.0000
Sc 0.3335 0.6665 0.0000
Sm 0.7462 0.7462 0.2454
Sm 0.2538 0.2538 0.7546
Sm 0.5811 0.9175 0.7547
Sm 0.9175 0.5811 0.7547
Sm 0.4189 0.0825 0.2453
Sm 0.0825 0.4189 0.2453
Ho 0.5000 0.5000 0.5000
Ho 0.1668 0.8332 0.5000
Ho 0.8332 0.1668 0.5000
Tb 0.0000 0.0000 0.0000

Properties
Space-group type: C2/m (12)
Crystal system: monoclinic
Calculated total energy: -4.91 eV per atom



# Tb2SmHo2Sc

An optimized crystal structure of Tb2SmHo2Sc (GGA-PBE, Alexandria via LeMat-Bulk).

Lattice parameters (Å, degrees): 3.3295 6.5231 17.3929 90.00 90.00 90.00
Fractional coordinates of all 12 atoms:
Sc 0.0000 0.0000 0.0000
Sc 0.5000 0.5000 0.5000
Tb 0.0000 0.2467 0.8183
Tb 0.5000 0.2533 0.3183
Tb 0.5000 0.7467 0.6817
Tb 0.0000 0.7533 0.1817
Ho 0.0000 0.2534 0.1463
Ho 0.5000 0.2466 0.6463
Ho 0.5000 0.7534 0.3537
Ho 0.0000 0.7466 0.8537
Sm 0.0000 0.0000 0.5000
Sm 0.5000 0.5000 0.0000

Properties
Space-group type: Pnnm (58)
Crystal system: orthorhombic
Calculated total energy: -4.63 eV per atom



# Tb6SmHo3Sc2

An optimized crystal structure of Tb6SmHo3Sc2 (GGA-PBE, Alexandria via LeMat-Bulk).

Lattice parameters (Å, degrees): 6.0780 6.0780 11.6056 94.99 94.99 119.95
Fractional coordinates of all 12 atoms:
Ho 0.5000 0.5000 0.5000
Ho 0.1671 0.8329 0.5000
Ho 0.8329 0.1671 0.5000
Tb 0.4190 0.0829 0.2464
Tb 0.2534 0.2534 0.7537
Tb 0.9171 0.5810 0.7536
Tb 0.0829 0.4190 0.2464
Tb 0.7466 0.7466 0.2463
Tb 0.5810 0.9171 0.7536
Sc 0.3334 0.6666 0.0000
Sc 0.6666 0.3334 0.0000
Sm 0.0000 0.0000 0.0000

Properties
Space-group type: C2/m (12)
Crystal system: monoclinic
Calculated total energy: -4.87 eV per atom



# TbSm3Ho6Sc2

An optimized crystal structure of TbSm3Ho6Sc2 (GGA-PBE, Alexandria via LeMat-Bulk).

Lattice parameters (Å, degrees): 6.0869 6.0869 11.6134 95.01 95.01 119.97
Fractional coordinates of all 12 atoms:
Sc 0.6668 0.3332 0.0000
Sc 0.3332 0.6668 0.0000
Ho 0.2546 0.2546 0.7573
Ho 0.0814 0.4172 0.2427
Ho 0.5828 0.9186 0.7573
Ho 0.4172 0.0814 0.2427
Ho 0.7454 0.7454 0.2427
Ho 0.9186 0.5828 0.7573
Sm 0.1669 0.8331 0.5000
Sm 0.5000 0.5000 0.5000
Sm 0.8331 0.1669 0.5000
Tb 0.0000 0.0000 0.0000

Properties
Space-group type: C2/m (12)
Crystal system: monoclinic
Calculated total energy: -4.87 eV per atom



# TbSmHo3Sc

An optimized crystal structure of TbSmHo3Sc (GGA-PBE, Alexandria via LeMat-Bulk).

Lattice parameters (Å, degrees): 4.9543 7.8332 9.9224 90.00 90.00 108.44
Fractional coordinates of all 12 atoms:
Sm 0.5021 0.0041 0.2500
Sm 0.4979 0.9959 0.7500
Sc 0.1680 0.3361 0.2500
Sc 0.8320 0.6639 0.7500
Ho 0.3320 0.6640 0.5003
Ho 0.6680 0.3360 0.4997
Ho 0.3320 0.6640 0.9997
Ho 0.1696 0.3391 0.7500
Ho 0.6680 0.3360 0.0003
Ho 0.8304 0.6609 0.2500
Tb 0.0000 0.0000 0.0000
Tb 0.0000 0.0000 0.5000

Properties
Space-group type: Cmcm (63)
Crystal system: orthorhombic
Calculated total energy: -4.87 eV per atom



# Tb6Sm2Ho3Sc

An optimized crystal structure of Tb6Sm2Ho3Sc (GGA-PBE, Alexandria via LeMat-Bulk).

Lattice parameters (Å, degrees): 6.1244 6.1244 11.7321 94.97 94.97 119.97
Fractional coordinates of all 12 atoms:
Tb 0.4136 0.0832 0.2499
Tb 0.0832 0.4136 0.2499
Tb 0.5864 0.9168 0.7501
Tb 0.7528 0.7528 0.2502
Tb 0.9168 0.5864 0.7501
Tb 0.2472 0.2472 0.7498
Ho 0.8338 0.1662 0.5000
Ho 0.5000 0.5000 0.5000
Ho 0.1662 0.8338 0.5000
Sm 0.6666 0.3334 0.0000
Sm 0.3334 0.6666 0.0000
Sc 0.0000 0.0000 0.0000

Properties
Space-group type: C2/m (12)
Crystal system: monoclinic
Calculated total energy: -4.75 eV per atom



| no. | DOS at the Fermi energy (states/eV/f.u.) |
| --- | --- |
| 1 | 18.12 |
| 2 | 20.93 |
| 3 | 16.50 |
| 4 | 13.91 |
| 5 | 6.70 |
| 6 | 9.30 |
| 7 | 13.33 |
| 8 | 9.95 |
| 9 | 14.69 |
| 10 | 16.14 |
| 11 | 13.41 |
| 12 | 12.35 |
| 13 | 13.14 |
| 14 | 15.93 |
| 15 | 16.70 |
| 16 | 14.25 |
| 17 | 8.65 |
| 18 | 16.31 |
| 19 | 17.10 |
| 20 | 8.74 |
| 21 | 15.54 |